[1]
Entry from Alexandria: a relaxed structure of Er7AsI12 (GGA-PBE).

It has space group R-3 (No. 148, hexagonal axes), with a = 15.6241 Å, b = 15.6241 Å, c = 10.2945 Å, α = 90.00°, β = 90.00° and γ = 120.00°. The inequivalent atoms are Er at (0.0000, 0.0000, 0.0000), Er at (0.0449, 0.8849, 0.3530), As at (0.0000, 0.0000, 0.5000), I at (0.0230, 0.4372, 0.1636) and I at (0.0509, 0.8696, 0.8357).

The calculation puts the uncorrected formation energy at -1247 meV/atom.

---

[2]
Entry from Alexandria: a relaxed structure of Er3AsI7 (GGA-PBE).

It has space group P3m1 (No. 156), with a = 8.7419 Å, b = 8.7419 Å, c = 7.4310 Å, α = 90.00°, β = 90.00° and γ = 120.00°. The inequivalent atoms are Er at (0.0089, 0.5045, 0.0000), As at (0.3333, 0.6667, 0.8225), I at (0.1712, 0.3425, 0.2420), I at (0.3411, 0.1705, 0.7773) and I at (0.6667, 0.3333, 0.2471).

The calculation puts the uncorrected formation energy at -1198 meV/atom.

---

[3]
Entry from Alexandria: a relaxed structure of Er3AsI3 (GGA-PBE).

It has space group I4_132 (No. 214), with a = 11.9832 Å, b = 11.9832 Å, c = 11.9832 Å, α = 90.00°, β = 90.00° and γ = 90.00°. The inequivalent atoms are Er at (0.1048, 0.3548, 0.1250), As at (0.1250, 0.1250, 0.1250) and I at (0.1191, 0.1309, 0.6250).

The calculation puts the uncorrected formation energy at -1197 meV/atom.

---

[4]
Entry from Alexandria: a relaxed structure of ErAsIO4 (GGA-PBE).

It has space group C2/m (No. 12), with a = 11.7787 Å, b = 6.3369 Å, c = 6.7441 Å, α = 90.00°, β = 102.23° and γ = 90.00°. The inequivalent atoms are Er at (0.2002, 0.0000, 0.3297), As at (0.1338, 0.0000, 0.7597), I at (0.0342, 0.5000, 0.2011), O at (0.0126, 0.0000, 0.2732), O at (0.1819, 0.2065, 0.6249) and O at (0.1998, 0.0000, 0.0085).

The calculation puts the uncorrected formation energy at -1871 meV/atom.

---

[5]
Entry from Alexandria: a relaxed structure of Er2InAs (GGA-PBE).

It has space group R-3m (No. 166, hexagonal axes), with a = 3.9407 Å, b = 3.9407 Å, c = 23.7669 Å, α = 90.00°, β = 90.00° and γ = 120.00°. The inequivalent atoms are Er at (0.0000, 0.0000, 0.2371), In at (0.0000, 0.0000, 0.0000) and As at (0.0000, 0.0000, 0.5000).

For the total energy, the calculation gives -5.027 eV per atom.

---

[6]
Entry from Alexandria: a relaxed structure of ErInNi5As2 (GGA-PBE).

It has space group P4/mmm (No. 123), with a = 4.0311 Å, b = 4.0311 Å, c = 8.1756 Å, α = 90.00°, β = 90.00° and γ = 90.00°. The inequivalent atoms are Er at (0.0000, 0.0000, 0.0000), In at (0.0000, 0.0000, 0.5000), Ni at (0.0000, 0.5000, 0.2902), Ni at (0.5000, 0.5000, 0.5000) and As at (0.5000, 0.5000, 0.1575).

For the total energy, the calculation gives -5.518 eV per atom.

---

[7]
Entry from Alexandria: a relaxed structure of ErInAs2O8 (GGA-PBE).

It has space group I-4m2 (No. 119), with a = 7.0554 Å, b = 7.0554 Å, c = 6.2853 Å, α = 90.00°, β = 90.00° and γ = 90.00°. The inequivalent atoms are Er at (0.0000, 0.0000, 0.0000), In at (0.0000, 0.5000, 0.2500), As at (0.0000, 0.0000, 0.5000), As at (0.0000, 0.5000, 0.7500), O at (0.0000, 0.1827, 0.3177) and O at (0.0000, 0.3183, 0.9323).

The calculation puts the uncorrected formation energy at -1857 meV/atom.

---

[8]
Entry from Alexandria: a relaxed structure of ErInAs2Rh5 (GGA-PBE).

It has space group P4/mmm (No. 123), with a = 4.1927 Å, b = 4.1927 Å, c = 8.6067 Å, α = 90.00°, β = 90.00° and γ = 90.00°. The inequivalent atoms are Er at (0.0000, 0.0000, 0.0000), In at (0.0000, 0.0000, 0.5000), As at (0.5000, 0.5000, 0.1452), Rh at (0.0000, 0.5000, 0.2770) and Rh at (0.5000, 0.5000, 0.5000).

For the total energy, the calculation gives -6.539 eV per atom.

---

[9]
Entry from Alexandria: a relaxed structure of Er6InAs2Se3 (GGA-PBE).

It has space group C2/m (No. 12), with a = 17.9754 Å, b = 4.0579 Å, c = 8.3356 Å, α = 90.00°, β = 103.21° and γ = 90.00°. The inequivalent atoms are Er at (0.0025, 0.0000, 0.2600), Er at (0.1687, 0.5000, 0.0937), Er at (0.1710, 0.5000, 0.5766), In at (0.0000, 0.5000, 0.0000), As at (0.1674, 0.0000, 0.3359), Se at (0.0000, 0.5000, 0.5000) and Se at (0.1677, 0.0000, 0.8314).

The calculation puts the uncorrected formation energy at -1425 meV/atom.

---

[10]
Entry from Alexandria: a relaxed structure of Er4InTe2As (GGA-PBE).

It has space group P2/m (No. 10), with a = 7.4833 Å, b = 4.1782 Å, c = 7.4868 Å, α = 90.00°, β = 108.45° and γ = 90.00°. The inequivalent atoms are Er at (0.2345, 0.0000, 0.2226), Er at (0.2467, 0.5000, 0.7641), In at (0.5000, 0.0000, 0.0000), Te at (0.0000, 0.0000, 0.5000), Te at (0.5000, 0.5000, 0.5000) and As at (0.0000, 0.5000, 0.0000).

The calculation puts the uncorrected formation energy at -1093 meV/atom.

---

[11]
Entry from Alexandria: a relaxed structure of Er2AsIr (GGA-PBE).

It has space group R-3m (No. 166, hexagonal axes), with a = 4.0426 Å, b = 4.0426 Å, c = 19.8322 Å, α = 90.00°, β = 90.00° and γ = 120.00°. The inequivalent atoms are Er at (0.0000, 0.0000, 0.2475), As at (0.0000, 0.0000, 0.0000) and Ir at (0.0000, 0.0000, 0.5000).

For the total energy, the calculation gives -6.596 eV per atom.

---

[12]
Entry from Alexandria: a relaxed structure of ErAs2Ir (GGA-PBE).

It has space group R-3m (No. 166, hexagonal axes), with a = 4.0079 Å, b = 4.0079 Å, c = 16.5914 Å, α = 90.00°, β = 90.00° and γ = 120.00°. The inequivalent atoms are Er at (0.0000, 0.0000, 0.0000), As at (0.0000, 0.0000, 0.2329) and Ir at (0.0000, 0.0000, 0.5000).

For the total energy, the calculation gives -6.446 eV per atom.

---

Number 1: calculated volume 36.272 Å³ per atom. Number 2: calculated volume 44.709 Å³ per atom. Number 3: calculated volume 30.727 Å³ per atom. Number 4: calculated volume 17.570 Å³ per atom. Number 5: calculated volume 26.636 Å³ per atom. Number 6: calculated volume 14.761 Å³ per atom. Number 7: calculated volume 13.037 Å³ per atom. Number 8: calculated volume 16.811 Å³ per atom. Number 9: calculated volume 24.664 Å³ per atom. Number 10: calculated volume 27.757 Å³ per atom. Number 11: calculated volume 23.391 Å³ per atom. Number 12: calculated volume 19.234 Å³ per atom.